DFT (PBE) results for an optimized crystal structure of Pa5Si2Te2.

It has space group Cmce (No. 64), with a = 15.2733 Å, b = 7.6474 Å, c = 7.6297 Å, α = 90.00°, β = 90.00° and γ = 90.00°. Symmetry generates all atoms from Pa at (0.0000, 0.0000, 0.0000), Pa at (0.1191, 0.1740, 0.3238), Si at (0.0000, 0.1219, 0.6213) and Te at (0.2121, 0.0000, 0.0000).

As for the calculated volume: 891.16 Å³/cell. Its total energy is -7.72 eV/atom. For the uncorrected formation energy, the calculation gives -0.545 eV/atom.